Material: HfHO2F
Method: DFT, PBE-GGA
State: relaxed

Structure (POSCAR):
```
HfHO2F
1.0
-1.058 -3.246 0.832
2.026 -1.314 -2.552
2.371 -0.256 2.014
H Hf O F
1 1 2 1
direct
0.000 0.000 0.000
0.500 0.500 0.500
0.000 0.500 0.000
0.500 0.000 0.000
0.000 0.000 0.500
```

Results
Symmetry   P4/mmm (123)
Total DFT energy (no corrections)   -33.37 eV/cell
Magnetization   0.00 μB per formula unit